LaLuIn after structural relaxation. Source: Alexandria via LeMat-Bulk, functional GGA-PBE.

For the formation energy from the elements, the calculation gives -0.284 eV/atom.

The space group is I4mm (No. 107) and the conventional cell measures 3.6203, 3.6203 and 13.8185 Å, with angles of 90.00, 90.00 and 90.00 degrees. The distinct sites, in fractional coordinates, are La at (0.0000, 0.0000, 0.0000), Lu at (0.0000, 0.0000, 0.6928) and In at (0.0000, 0.0000, 0.3326).

***

HfMgTlSn2 after structural relaxation. Source: Alexandria via LeMat-Bulk, functional GGA-PBE.

For the formation energy from the elements, the calculation gives 0.800 eV/atom.

The space group is P4/mmm (No. 123) and the conventional cell measures 5.2902, 5.2902 and 5.2130 Å, with angles of 90.00, 90.00 and 90.00 degrees. The distinct sites, in fractional coordinates, are Hf at (0.0000, 0.0000, 0.0000), Mg at (0.5000, 0.5000, 0.5000), Tl at (0.5000, 0.5000, 0.0000) and Sn at (0.0000, 0.5000, 0.5000).

***

BaNaI2Br after structural relaxation. Source: Alexandria via LeMat-Bulk, functional GGA-PBE.

For the uncorrected formation energy, the calculation gives -1656 meV per atom.

The space group is P2_1/m (No. 11) and the conventional cell measures 8.5298, 5.2986 and 12.4860 Å, with angles of 90.00, 99.68 and 90.00 degrees. The distinct sites, in fractional coordinates, are Ba at (0.2471, 0.2500, 0.0858), Na at (0.4928, 0.2500, 0.6190), I at (0.3199, 0.2500, 0.3788), I at (0.4613, 0.2500, 0.8620) and Br at (0.0402, 0.7500, 0.1225).

***

La2Pr4Sn3Br2 after structural relaxation. Source: Alexandria via LeMat-Bulk, functional GGA-PBE.

For the uncorrected formation energy, the calculation gives -678 meV per atom.

The space group is I4/mmm (No. 139) and the conventional cell measures 5.5136, 5.5136 and 24.5693 Å, with angles of 90.00, 90.00 and 90.00 degrees. The distinct sites, in fractional coordinates, are La at (0.0000, 0.0000, 0.1984), Pr at (0.0000, 0.5000, 0.0908), Sn at (0.0000, 0.0000, 0.3312), Sn at (0.0000, 0.0000, 0.5000) and Br at (0.0000, 0.0000, 0.0646).

***

Number 1: total DFT energy (no corrections) -4.346 eV per atom. Number 2: total DFT energy (no corrections) -3.584 eV per atom. Number 3: total DFT energy (no corrections) -3.259 eV per atom. Number 4: total DFT energy (no corrections) -4.707 eV per atom.